(1)
VASP calculation (PBE) on SmTmMnTl after structural relaxation.

DFT total energy, eV/cell: -20.75

```
4
Lattice="0.000 3.704 3.704 3.704 0.000 3.704 3.704 3.704 0.000" Properties=species:S:1:pos:R:3 pbc="T T T"
Sm 0.000 0.000 0.000
Tm 3.704 3.704 3.704
Mn 1.852 1.852 1.852
Tl 5.555 5.555 5.555
```

=====

(2)
VASP calculation (PBE) on Ta3NbI after structural relaxation.

ΔE_f (raw), eV/atom: 2.147
E above lowest polymorph, eV/atom: 0.421

```
5
Lattice="4.926 0.000 0.000 0.000 4.926 0.000 0.000 0.000 4.926" Properties=species:S:1:pos:R:3 pbc="T T T"
Ta 0.000 0.000 2.463
Ta 0.000 2.463 0.000
Ta 2.463 0.000 0.000
Nb 2.463 2.463 2.463
I 0.000 0.000 0.000
```